{
  "formula": "TiAlH",
  "functional": "GGA-PBE",
  "state": "optimized geometry",
  "dft_energy_ry_per_atom": -0.3952,
  "de_polymorph_ev_per_atom": 0.000,
  "spacegroup": "P3m1 (156)",
  "lattice": [[3.019, 0.000, 0.000], [-1.510, 2.615, 0.000], [0.000, 0.000, 4.486]],
  "species": ["Ti", "Al", "H"],
  "frac_coords": [[0.000, 0.000, 0.000], [0.333, 0.667, 0.512], [0.667, 0.333, 0.137]]
}

{
  "formula": "Pm2TlZn3",
  "functional": "GGA-PBE",
  "state": "optimized geometry",
  "dft_energy_ry_per_atom": -0.2172,
  "spacegroup": "Fmmm (69)",
  "lattice": [[0.000, 4.661, 8.062], [3.718, 0.000, 8.062], [3.718, 4.661, 0.000]],
  "species": ["Pm", "Pm", "Pm", "Pm", "Tl", "Tl", "Zn", "Zn", "Zn", "Zn", "Zn", "Zn"],
  "frac_coords": [[0.243, 0.757, 0.757], [0.250, 0.250, 0.250], [0.750, 0.750, 0.750], [0.757, 0.243, 0.243], [0.335, 0.335, 0.665], [0.665, 0.665, 0.335], [0.161, 0.161, 0.839], [0.162, 0.678, 0.322], [0.322, 0.838, 0.162], [0.678, 0.162, 0.838], [0.838, 0.322, 0.678], [0.839, 0.839, 0.161]]
}

{
  "formula": "SiHg",
  "functional": "GGA-PBE",
  "state": "optimized geometry",
  "formation_energy_uncorrected_mev_per_atom": 393,
  "dft_energy_ry_per_atom": -0.1815,
  "de_polymorph_ev_per_atom": 0.248,
  "spacegroup": "Fddd (70)",
  "lattice": [[0.000, 4.505, 5.252], [3.872, 0.000, 5.252], [3.872, 4.505, 0.000]],
  "species": ["Si", "Si", "Si", "Si", "Hg", "Hg", "Hg", "Hg"],
  "frac_coords": [[0.014, 0.014, 0.236], [0.236, 0.236, 0.014], [0.764, 0.764, 0.986], [0.986, 0.986, 0.764], [0.209, 0.541, 0.209], [0.459, 0.791, 0.459], [0.541, 0.209, 0.541], [0.791, 0.459, 0.791]]
}

{
  "formula": "YU3Pt12",
  "functional": "GGA-PBE",
  "state": "optimized geometry",
  "dft_energy_ry_per_atom": -0.5780,
  "spacegroup": "P4/mmm (123)",
  "lattice": [[4.153, 0.000, 0.000], [0.000, 4.153, 0.000], [0.000, 0.000, 16.586]],
  "species": ["Y", "U", "U", "U", "Pt", "Pt", "Pt", "Pt", "Pt", "Pt", "Pt", "Pt", "Pt", "Pt", "Pt", "Pt"],
  "frac_coords": [[0.000, 0.000, 0.000], [0.000, 0.000, 0.248], [0.000, 0.000, 0.500], [0.000, 0.000, 0.752], [0.000, 0.500, 0.126], [0.000, 0.500, 0.374], [0.000, 0.500, 0.626], [0.000, 0.500, 0.874], [0.500, 0.000, 0.126], [0.500, 0.000, 0.374], [0.500, 0.000, 0.626], [0.500, 0.000, 0.874], [0.500, 0.500, 0.000], [0.500, 0.500, 0.250], [0.500, 0.500, 0.500], [0.500, 0.500, 0.750]]
}

{
  "formula": "Tm3HgPt",
  "functional": "GGA-PBE",
  "state": "optimized geometry",
  "dft_energy_ry_per_atom": -0.3365,
  "de_polymorph_ev_per_atom": 0.080,
  "spacegroup": "Pmma (51)",
  "lattice": [[6.120, 0.000, 0.000], [0.000, 5.379, 0.000], [0.000, 0.000, 8.149]],
  "species": ["Tm", "Tm", "Tm", "Tm", "Tm", "Tm", "Hg", "Hg", "Pt", "Pt"],
  "frac_coords": [[0.000, 0.000, 0.000], [0.250, 0.000, 0.366], [0.250, 0.500, 0.722], [0.500, 0.000, 0.000], [0.750, 0.000, 0.634], [0.750, 0.500, 0.278], [0.250, 0.500, 0.126], [0.750, 0.500, 0.874], [0.250, 0.000, 0.701], [0.750, 0.000, 0.299]]
}

{
  "formula": "Rb3SnF",
  "functional": "GGA-PBE",
  "state": "optimized geometry",
  "formation_energy_uncorrected_mev_per_atom": -1048,
  "dft_energy_ry_per_atom": -0.2060,
  "de_polymorph_ev_per_atom": 0.000,
  "spacegroup": "R-3m (166)",
  "lattice": [[3.998, 2.308, 6.985], [-3.998, 2.308, 6.985], [0.000, -4.616, 6.985]],
  "species": ["Rb", "Rb", "Rb", "Rb", "Rb", "Rb", "Sn", "Sn", "F", "F"],
  "frac_coords": [[0.088, 0.088, 0.570], [0.088, 0.570, 0.088], [0.430, 0.912, 0.912], [0.570, 0.088, 0.088], [0.912, 0.430, 0.912], [0.912, 0.912, 0.430], [0.432, 0.432, 0.432], [0.568, 0.568, 0.568], [0.165, 0.165, 0.165], [0.835, 0.835, 0.835]]
}

{
  "formula": "Li5Zn",
  "functional": "GGA-PBE",
  "state": "optimized geometry",
  "dft_energy_ry_per_atom": -0.1219,
  "spacegroup": "P6/mmm (191)",
  "lattice": [[5.219, 0.000, 0.000], [-2.610, 4.520, 0.000], [0.000, 0.000, 4.936]],
  "species": ["Li", "Li", "Li", "Li", "Li", "Zn"],
  "frac_coords": [[0.000, 0.500, 0.000], [0.333, 0.667, 0.500], [0.500, 0.000, 0.000], [0.500, 0.500, 0.000], [0.667, 0.333, 0.500], [0.000, 0.000, 0.500]]
}

{
  "formula": "Y3Zn2Ni7",
  "functional": "GGA-PBE",
  "state": "optimized geometry",
  "dft_energy_ry_per_atom": -0.4135,
  "spacegroup": "R-3m (166)",
  "lattice": [[2.561, 1.479, 8.001], [-2.561, 1.479, 8.001], [0.000, -2.957, 8.001]],
  "species": ["Y", "Y", "Y", "Zn", "Zn", "Ni", "Ni", "Ni", "Ni", "Ni", "Ni", "Ni"],
  "frac_coords": [[0.000, 0.000, 0.000], [0.140, 0.140, 0.140], [0.860, 0.860, 0.860], [0.333, 0.333, 0.333], [0.667, 0.667, 0.667], [0.084, 0.583, 0.583], [0.417, 0.417, 0.916], [0.417, 0.916, 0.417], [0.500, 0.500, 0.500], [0.583, 0.084, 0.583], [0.583, 0.583, 0.084], [0.916, 0.417, 0.417]]
}